The following is a PBE calculation of a relaxed MoAs crystal, from the Alexandria database.

Cell lengths 10.181, 10.181, 3.155 Å; angles 90.00, 90.00, 90.00 degrees
Fractional positions:
Mo1 0.371 0.190 0.000
Mo2 0.629 0.810 0.000
Mo3 0.810 0.371 0.000
Mo4 0.190 0.629 0.000
Mo5 0.871 0.690 0.500
Mo6 0.129 0.310 0.500
Mo7 0.310 0.871 0.500
Mo8 0.690 0.129 0.500
As1 0.413 0.709 0.000
As2 0.587 0.291 0.000
As3 0.291 0.413 0.000
As4 0.709 0.587 0.000
As5 0.913 0.209 0.500
As6 0.087 0.791 0.500
As7 0.791 0.913 0.500
As8 0.209 0.087 0.500

Values from the calculation:
Magnetic moment: 0.000 μB/f.u.
E_form: 280 meV/atom

---

The following is a PBE calculation of a relaxed Cs6H4Au crystal, from the Alexandria database.

Cell lengths 4.664, 7.947, 23.530 Å; angles 90.00, 90.00, 107.06 degrees
Fractional positions:
Cs1 0.500 0.000 0.000
Cs2 0.500 0.000 0.500
Cs3 0.040 0.080 0.347
Cs4 0.960 0.920 0.653
Cs5 0.960 0.920 0.847
Cs6 0.040 0.080 0.153
Cs7 0.772 0.545 0.418
Cs8 0.228 0.455 0.582
Cs9 0.228 0.455 0.918
Cs10 0.772 0.545 0.082
Cs11 0.335 0.670 0.250
Cs12 0.665 0.330 0.750
H1 0.863 0.726 0.538
H2 0.404 0.808 0.119
H3 0.137 0.274 0.462
H4 0.596 0.192 0.881
H5 0.863 0.726 0.962
H6 0.137 0.274 0.038
H7 0.596 0.192 0.619
H8 0.404 0.808 0.381
Au1 0.652 0.304 0.250
Au2 0.348 0.696 0.750

Values from the calculation:
E: -2.13 eV/atom
Magnetic moment: 0.000 μB/f.u.

---

The following is a PBE calculation of a relaxed Tm2Cd2Pd3 crystal, from the Alexandria database.

Cell lengths 4.292, 7.343, 5.239 Å; angles 104.45, 114.18, 90.00 degrees
Fractional positions:
Tm1 0.372 0.184 0.744
Tm2 0.628 0.816 0.256
Cd1 0.125 0.426 0.250
Cd2 0.875 0.574 0.750
Pd1 0.000 0.000 0.000
Pd2 0.323 0.791 0.645
Pd3 0.677 0.209 0.355

Values from the calculation:
Magnetic moment: 0.000 μB/f.u.
E_form: -701 meV/atom
Distance to the lowest polymorph of the same formula: 6 meV per atom

---

The following is a PBE calculation of a relaxed NiAgB3 crystal, from the Alexandria database.

Cell lengths 4.090, 4.090, 4.090 Å; angles 90.00, 90.00, 90.00 degrees
Fractional positions:
Ni1 0.500 0.500 0.500
B1 0.000 0.500 0.000
B2 0.000 0.000 0.500
B3 0.500 0.000 0.000
Ag1 0.000 0.000 0.000

Values from the calculation:
Magnetic moment: 0.000 μB/f.u.
E_form: 2242 meV/atom
Distance to the lowest polymorph of the same formula: 1135 meV per atom

---

What did the second record say?
The following is a PBE calculation of a relaxed Cs6H4Au crystal, from the Alexandria database.

Cell lengths 4.664, 7.947, 23.530 Å; angles 90.00, 90.00, 107.06 degrees
Fractional positions:
Cs1 0.500 0.000 0.000
Cs2 0.500 0.000 0.500
Cs3 0.040 0.080 0.347
Cs4 0.960 0.920 0.653
Cs5 0.960 0.920 0.847
Cs6 0.040 0.080 0.153
Cs7 0.772 0.545 0.418
Cs8 0.228 0.455 0.582
Cs9 0.228 0.455 0.918
Cs10 0.772 0.545 0.082
Cs11 0.335 0.670 0.250
Cs12 0.665 0.330 0.750
H1 0.863 0.726 0.538
H2 0.404 0.808 0.119
H3 0.137 0.274 0.462
H4 0.596 0.192 0.881
H5 0.863 0.726 0.962
H6 0.137 0.274 0.038
H7 0.596 0.192 0.619
H8 0.404 0.808 0.381
Au1 0.652 0.304 0.250
Au2 0.348 0.696 0.750

Values from the calculation:
E: -2.13 eV/atom
Magnetic moment: 0.000 μB/f.u.